# RbBa2SrCl

A relaxed structure of RbBa2SrCl (PBE, the Alexandria database).

## Properties
The total energy comes out at -2.277 eV/atom. The density of states at the Fermi level comes out at 6.28 states/eV/cell. For the formation energy (no corrections), the calculation gives -609 meV per atom.

Cell lengths 6.4808, 6.4808, 6.6406 Å; angles 90.00, 90.00, 90.00 degrees
Closest atoms and distances in Å follow each position.
Space group P4/mmm (No. 123)
Inequivalent atoms, fractional coordinates:
Rb 0.0000 0.0000 0.0000 (multiplicity 1)  2 Cl 3.32
Ba 0.0000 0.5000 0.5000 (multiplicity 2)  2 Cl 3.24
Sr 0.5000 0.5000 0.0000 (multiplicity 1)  4 Rb 4.58, 8 Ba 4.64
Cl 0.0000 0.0000 0.5000 (multiplicity 1)  4 Ba 3.24, 2 Rb 3.32